[1]
Computed, not measured: a relaxed structure of TiCu4Pd9 at the GGA-PBE level of DFT.

Cell: 8.2776 7.5881 7.5881 Å, 120.00 90.00 90.00°
Closest atoms and distances in Å follow each position.
Atoms (fractional coordinates):
Ti  0.2500  0.6667  0.3333  9 Pd 2.46-2.66
Ti  0.7500  0.3333  0.6667  9 Pd 2.46-2.66
Cu  0.2500  0.1089  0.2178  4 Cu 2.48-2.52, 4 Pd 2.57-2.68
Cu  0.2500  0.1089  0.8911  4 Cu 2.48-2.52, 4 Pd 2.57-2.68
Cu  0.2500  0.7822  0.8911  4 Cu 2.48-2.52, 4 Pd 2.57-2.68
Cu  0.7500  0.8911  0.7822  4 Cu 2.48-2.52, 4 Pd 2.57-2.68
Cu  0.7500  0.8911  0.1089  4 Cu 2.48-2.52, 4 Pd 2.57-2.68
Cu  0.7500  0.2178  0.1089  4 Cu 2.48-2.52, 4 Pd 2.57-2.68
Cu  0.0000  0.0000  0.0000  6 Cu 2.52, 6 Pd 2.68
Cu  0.5000  0.0000  0.0000  6 Cu 2.52, 6 Pd 2.68
Pd  0.0377  0.7973  0.5946  1 Ti 2.46, 2 Cu 2.68, 2 Pd 2.74
Pd  0.0377  0.7973  0.2027  1 Ti 2.46, 2 Cu 2.68, 2 Pd 2.74
Pd  0.0377  0.4054  0.2027  1 Ti 2.46, 2 Cu 2.68, 2 Pd 2.74
Pd  0.9623  0.2027  0.4054  1 Ti 2.46, 2 Cu 2.68, 2 Pd 2.74
Pd  0.9623  0.2027  0.7973  1 Ti 2.46, 2 Cu 2.68, 2 Pd 2.74
Pd  0.9623  0.5946  0.7973  1 Ti 2.46, 2 Cu 2.68, 2 Pd 2.74
Pd  0.5377  0.2027  0.4054  1 Ti 2.46, 2 Cu 2.68, 2 Pd 2.74
Pd  0.5377  0.2027  0.7973  1 Ti 2.46, 2 Cu 2.68, 2 Pd 2.74
Pd  0.5377  0.5946  0.7973  1 Ti 2.46, 2 Cu 2.68, 2 Pd 2.74
Pd  0.4623  0.7973  0.5946  1 Ti 2.46, 2 Cu 2.68, 2 Pd 2.74
Pd  0.4623  0.7973  0.2027  1 Ti 2.46, 2 Cu 2.68, 2 Pd 2.74
Pd  0.4623  0.4054  0.2027  1 Ti 2.46, 2 Cu 2.68, 2 Pd 2.74
Pd  0.2500  0.4640  0.9280  2 Cu 2.57, 1 Ti 2.66
Pd  0.2500  0.4640  0.5360  2 Cu 2.57, 1 Ti 2.66
Pd  0.2500  0.0720  0.5360  2 Cu 2.57, 1 Ti 2.66
Pd  0.7500  0.5360  0.0720  2 Cu 2.57, 1 Ti 2.66
Pd  0.7500  0.5360  0.4640  2 Cu 2.57, 1 Ti 2.66
Pd  0.7500  0.9280  0.4640  2 Cu 2.57, 1 Ti 2.66

## Properties
* DFT total energy: -147.6 eV per cell
* calculated formation energy: -19.3 kJ/mol of atoms



[2]
Computed, not measured: a relaxed structure of Ti4CuPd at the GGA-PBE level of DFT.

Cell: 2.9403 2.9403 11.0154 Å, 90.00 90.00 90.00°
Closest atoms and distances in Å follow each position.
Atoms (fractional coordinates):
Ti  0.5000  0.5000  0.1699  4 Pd 2.80, 8 Ti 2.81-2.94
Ti  0.0000  0.0000  0.6585  4 Cu 2.72, 8 Ti 2.81-2.94
Ti  0.0000  0.0000  0.3415  4 Cu 2.72, 8 Ti 2.81-2.94
Ti  0.5000  0.5000  0.8301  4 Pd 2.80, 8 Ti 2.81-2.94
Cu  0.5000  0.5000  0.5000  8 Ti 2.72, 4 Cu 2.94
Pd  0.0000  0.0000  0.0000  8 Ti 2.80, 4 Pd 2.94

## Properties
* DFT total energy: -42.5 eV per cell
* energy relative to the lowest polymorph listed for this composition: 0 meV/atom
* calculated formation energy: -26.8 kJ/mol of atoms



[3]
Computed, not measured: a relaxed structure of Ti2Cu3Pd3 at the GGA-PBE level of DFT.

Cell: 4.8652 4.8652 4.8652 Å, 90.04 90.04 89.96°
Closest atoms and distances in Å follow each position.
Atoms (fractional coordinates):
Ti  0.2499  0.2499  0.7501  6 Pd 2.69-2.75, 6 Cu 2.71-2.73
Ti  0.7501  0.7501  0.2499  6 Pd 2.69-2.75, 6 Cu 2.71-2.73
Cu  0.2486  0.7514  0.5000  2 Pd 2.43, 2 Ti 2.71
Cu  0.5000  0.2486  0.2486  2 Pd 2.43, 2 Ti 2.71
Cu  0.7514  0.5000  0.7514  2 Pd 2.43, 2 Ti 2.71
Pd  0.2564  0.7436  0.0000  2 Cu 2.43, 2 Ti 2.69
Pd  0.0000  0.2564  0.2564  2 Cu 2.43, 2 Ti 2.69
Pd  0.7436  0.0000  0.7436  2 Cu 2.43, 2 Ti 2.69

## Properties
* DFT total energy: -46.7 eV per cell
* energy relative to the lowest polymorph listed for this composition: 0 meV/atom
* calculated formation energy: -36.7 kJ/mol of atoms



[4]
Computed, not measured: a relaxed structure of Ti2Cu2Pd7 at the GGA-PBE level of DFT.

Cell: 5.6831 6.9070 4.8184 Å, 67.32 104.27 89.23°
Closest atoms and distances in Å follow each position.
Atoms (fractional coordinates):
Ti  0.8055  0.4196  0.7699  6 Pd 2.45-2.73, 1 Cu 2.74
Ti  0.1945  0.5804  0.2301  6 Pd 2.45-2.73, 1 Cu 2.74
Cu  0.6347  0.0770  0.1500  1 Cu 2.39, 5 Pd 2.47-2.65
Cu  0.3653  0.9230  0.8500  1 Cu 2.39, 5 Pd 2.47-2.65
Pd  0.0187  0.2316  0.3931  2 Ti 2.53-2.71, 2 Cu 2.65-2.72, 2 Pd 2.77-2.81
Pd  0.7189  0.6199  0.1367  1 Cu 2.57, 3 Ti 2.62-2.75, 2 Pd 2.81
Pd  0.9813  0.7684  0.6069  2 Ti 2.53-2.71, 2 Cu 2.65-2.72, 2 Pd 2.77-2.81
Pd  0.2811  0.3801  0.8633  1 Cu 2.57, 3 Ti 2.62-2.75, 2 Pd 2.81
Pd  0.0000  0.0000  0.0000  2 Cu 2.47, 2 Pd 2.77
Pd  0.4666  0.7633  0.4991  2 Ti 2.45-2.70, 2 Cu 2.51-2.54
Pd  0.5334  0.2367  0.5009  2 Ti 2.45-2.70, 2 Cu 2.51-2.54

## Properties
* DFT total energy: -64.2 eV per cell
* calculated formation energy: -34.0 kJ/mol of atoms



[5]
Computed, not measured: a relaxed structure of Ti2Cu4Pd at the GGA-PBE level of DFT.

Cell: 6.4131 6.4130 5.1709 Å, 128.74 128.74 89.77°
Closest atoms and distances in Å follow each position.
Atoms (fractional coordinates):
Ti  0.7469  0.2531  0.5000  2 Ti 2.43, 8 Cu 2.61-2.64
Ti  0.2531  0.7469  0.5000  2 Ti 2.43, 8 Cu 2.61-2.64
Cu  0.6874  0.3126  0.0000  4 Cu 2.44-2.68, 4 Ti 2.63-2.64
Cu  0.3126  0.6874  0.0000  4 Cu 2.44-2.68, 4 Ti 2.63-2.64
Cu  0.3036  0.3036  0.9918  4 Cu 2.44-2.69, 4 Ti 2.61-2.63
Cu  0.6964  0.6964  0.0082  4 Cu 2.44-2.69, 4 Ti 2.61-2.63
Pd  0.0000  0.0000  0.0000  12 Cu 2.80-2.99

## Properties
* DFT total energy: -36.9 eV per cell
* energy relative to the lowest polymorph listed for this composition: 82 meV/atom
* calculated formation energy: 6.7 kJ/mol of atoms



[6]
Computed, not measured: a relaxed structure of Ti2CuPd3 at the GGA-PBE level of DFT.

Cell: 4.0013 7.5367 7.3560 Å, 120.82 105.78 90.00°
Closest atoms and distances in Å follow each position.
Atoms (fractional coordinates):
Ti  0.3369  0.3369  0.6737  8 Pd 2.72-2.78, 2 Cu 2.80, 2 Ti 2.89
Ti  0.6631  0.1631  0.3263  8 Pd 2.72-2.78, 2 Cu 2.80, 2 Ti 2.89
Ti  0.3369  0.8369  0.6737  8 Pd 2.72-2.78, 2 Cu 2.80, 2 Ti 2.89
Ti  0.6631  0.6631  0.3263  8 Pd 2.72-2.78, 2 Cu 2.80, 2 Ti 2.89
Cu  0.0000  0.5000  0.0000  8 Pd 2.75, 4 Ti 2.80
Cu  0.0000  0.0000  0.0000  8 Pd 2.75, 4 Ti 2.80
Pd  0.5000  0.2500  0.0000  4 Ti 2.72, 4 Cu 2.75, 4 Pd 2.83
Pd  0.5000  0.7500  0.0000  4 Ti 2.72, 4 Cu 2.75, 4 Pd 2.83
Pd  0.8334  0.0834  0.6668  2 Cu 2.75, 6 Ti 2.75-2.78, 4 Pd 2.83
Pd  0.1666  0.4166  0.3332  2 Cu 2.75, 6 Ti 2.75-2.78, 4 Pd 2.83
Pd  0.1666  0.9166  0.3332  2 Cu 2.75, 6 Ti 2.75-2.78, 4 Pd 2.83
Pd  0.8334  0.5834  0.6668  2 Cu 2.75, 6 Ti 2.75-2.78, 4 Pd 2.83

## Properties
* DFT total energy: -76.2 eV per cell
* calculated formation energy: -42.6 kJ/mol of atoms



Which of these has the lowest DFT total energy? TiCu4Pd9